1.
Below is a relaxed AlCoBr2 crystal, with properties calculated at the PBE-GGA level. Values from VASP.

Crystal system: tetragonal

The structure in Quantum ESPRESSO input format:
```
&SYSTEM
  ibrav = 0, nat = 4, ntyp = 3
/
ATOMIC_SPECIES
Al 26.98 Al.upf
Br 79.90 Br.upf
Co 58.93 Co.upf
ATOMIC_POSITIONS angstrom
Al -4.327 1.319 4.628
Br -2.510 -0.283 2.833
Br -4.718 4.161 4.662
Co -2.756 2.430 2.723
CELL_PARAMETERS angstrom
-2.347 -2.116 -0.487
1.001 -1.691 2.522
-5.186 4.573 5.124
```


2.
Below is a relaxed AlCoBr2 crystal, with properties calculated at the PBE-GGA level. Values from VASP.

Crystal system: trigonal

The structure in Quantum ESPRESSO input format:
```
&SYSTEM
  ibrav = 0, nat = 4, ntyp = 3
/
ATOMIC_SPECIES
Co 58.93 Co.upf
Br 79.90 Br.upf
Al 26.98 Al.upf
ATOMIC_POSITIONS angstrom
Co 0.000 0.000 0.000
Br 0.725 -2.143 0.315
Br 7.683 -22.711 3.340
Al 4.204 -12.427 1.828
CELL_PARAMETERS angstrom
1.063 -9.022 0.206
4.584 -7.846 0.109
2.762 -7.987 3.341
```


3.
Below is a relaxed AlCo2Br crystal, with properties calculated at the PBE-GGA level. Values from VASP.

Crystal system: orthorhombic

The structure in Quantum ESPRESSO input format:
```
&SYSTEM
  ibrav = 0, nat = 4, ntyp = 3
/
ATOMIC_SPECIES
Br 79.90 Br.upf
Co 58.93 Co.upf
Al 26.98 Al.upf
ATOMIC_POSITIONS angstrom
Br 1.921 0.528 1.845
Co 0.598 2.620 3.271
Co 0.009 0.009 0.042
Al 1.083 1.061 5.079
CELL_PARAMETERS angstrom
-0.468 2.929 5.432
2.795 -0.648 5.484
0.120 0.797 -6.136
```


Number 1: distance to the lowest polymorph of the same formula 351 meV/atom, raw formation energy 0.09 eV/atom, Fermi-level density of states 3.40 states/eV/f.u.. Number 2: distance to the lowest polymorph of the same formula 575 meV/atom, raw formation energy 0.31 eV/atom, Fermi-level density of states 7.25 states/eV/f.u.. Number 3: distance to the lowest polymorph of the same formula 124 meV/atom, raw formation energy 0.25 eV/atom, Fermi-level density of states 5.45 states/eV/f.u..